[1]
Dy5TcHg2: optimized geometry, PBE-GGA.

Calculated values
Formation enthalpy at 0 K, eV/atom: -0.273
Space-group type: Pbam
Theoretical density, Mg/m³: 10.4

Unit cell a=6.8719 b=12.1831 c=4.9864 alpha=90.00 beta=90.00 gamma=90.00
Atoms (fractional coordinates):
1 Dy 0.0000 0.0000 0.0000
2 Dy 0.1349 0.2897 0.0000
3 Dy 0.1700 0.5908 0.5000
4 Dy 0.3300 0.0908 0.5000
5 Dy 0.3651 0.7897 0.0000
6 Dy 0.5000 0.5000 0.0000
7 Dy 0.6349 0.2103 0.0000
8 Dy 0.6700 0.9092 0.5000
9 Dy 0.8300 0.4092 0.5000
10 Dy 0.8651 0.7103 0.0000
11 Tc 0.0000 0.5000 0.0000
12 Tc 0.5000 0.0000 0.0000
13 Hg 0.1015 0.8459 0.5000
14 Hg 0.3985 0.3459 0.5000
15 Hg 0.6015 0.6541 0.5000
16 Hg 0.8985 0.1541 0.5000

[2]
Th2ZnAgOs: optimized geometry, PBE-GGA.

Calculated values
Formation enthalpy at 0 K, eV/atom: -0.244
Space-group type: P2_1/m
Theoretical density, Mg/m³: 11.5

Unit cell a=7.6175 b=4.1731 c=7.9842 alpha=90.00 beta=109.97 gamma=90.00
Atoms (fractional coordinates):
1 Th 0.0253 0.2500 0.2208
2 Th 0.3605 0.7500 0.6120
3 Th 0.6395 0.2500 0.3880
4 Th 0.9747 0.7500 0.7792
5 Zn 0.3560 0.2500 0.9498
6 Zn 0.6440 0.7500 0.0502
7 Ag 0.3231 0.7500 0.1704
8 Ag 0.6769 0.2500 0.8296
9 Os 0.1179 0.2500 0.6257
10 Os 0.8821 0.7500 0.3743

[3]
Ce3Zn2In: optimized geometry, PBE-GGA.

Calculated values
Formation enthalpy at 0 K, eV/atom: -0.251
Space-group type: P4/mmm
Energy above the most stable polymorph in this dataset, eV per atom: 0.000
Theoretical density, Mg/m³: 7.9

Unit cell a=3.1933 b=3.1933 c=13.7444 alpha=90.00 beta=90.00 gamma=90.00
Atoms (fractional coordinates):
1 Ce 0.0000 0.0000 0.0000
2 Ce 0.0000 0.0000 0.3173
3 Ce 0.0000 0.0000 0.6827
4 Zn 0.5000 0.5000 0.1594
5 Zn 0.5000 0.5000 0.8406
6 In 0.5000 0.5000 0.5000

[4]
Mg2PdCl8: optimized geometry, PBE-GGA.

Calculated values
Space-group type: C2/m
Formation energy without anion corrections, meV per atom: -1076
Theoretical density, Mg/m³: 2.4

Unit cell a=7.9799 b=7.9799 c=6.2999 alpha=93.32 beta=93.32 gamma=50.57
Atoms (fractional coordinates):
1 Mg 0.1529 0.1529 0.4566
2 Mg 0.8471 0.8471 0.5434
3 Pd 0.0000 0.0000 0.0000
4 Cl 0.1438 0.1438 0.8387
5 Cl 0.1755 0.6997 0.7566
6 Cl 0.3003 0.8245 0.2434
7 Cl 0.3105 0.3105 0.4260
8 Cl 0.6895 0.6895 0.5740
9 Cl 0.6997 0.1755 0.7566
10 Cl 0.8245 0.3003 0.2434
11 Cl 0.8562 0.8562 0.1613